No. 1
# NaTa2CdSe, relaxed, DFT PBE
data_NaTa2CdSe
_symmetry_space_group_name_H-M 'P 4/m m m'
_symmetry_Int_Tables_number 123
_symmetry_space_group_name_Hall '-P 4 2'
_cell_length_a 5.1817
_cell_length_b 5.1817
_cell_length_c 5.4482
_cell_angle_alpha 90.00
_cell_angle_beta 90.00
_cell_angle_gamma 90.00
loop_
_atom_site_label
_atom_site_fract_x
_atom_site_fract_y
_atom_site_fract_z
Na1 0.0000 0.0000 0.0000
Ta1 0.0000 0.5000 0.5000
Cd1 0.5000 0.5000 0.5000
Se1 0.5000 0.5000 0.0000
# V in A^3/atom: 29.26
# Uncorrected energy in eV/atom: -4.05



No. 2
# Na2TaCdSe4, relaxed, DFT PBE
data_Na2TaCdSe4
_symmetry_space_group_name_H-M 'I -4'
_symmetry_Int_Tables_number 82
_cell_length_a 6.4843
_cell_length_b 6.4843
_cell_length_c 12.2224
_cell_angle_alpha 90.00
_cell_angle_beta 90.00
_cell_angle_gamma 90.00
loop_
_symmetry_equiv_pos_as_xyz
'x,y,z'
'y,-x,-z'
'-x,-y,z'
'-y,x,-z'
'x+1/2,y+1/2,z+1/2'
'y+1/2,-x+1/2,-z+1/2'
'-x+1/2,-y+1/2,z+1/2'
'-y+1/2,x+1/2,-z+1/2'
loop_
_atom_site_label
_atom_site_fract_x
_atom_site_fract_y
_atom_site_fract_z
Na1 0.0000 0.0000 0.0000
Na2 0.0000 0.5000 0.2500
Ta1 0.0000 0.5000 0.7500
Cd1 0.0000 0.0000 0.5000
Se1 0.2083 0.7264 0.6348
# V in A^3/atom: 32.12
# Uncorrected energy in eV/atom: -4.41



No. 3
# Na3UCd2Se6, relaxed, DFT PBE
data_Na3UCd2Se6
_symmetry_space_group_name_H-M 'C 1 2/m 1'
_symmetry_Int_Tables_number 12
_cell_length_a 7.0323
_cell_length_b 12.1813
_cell_length_c 7.4342
_cell_angle_alpha 90.00
_cell_angle_beta 108.41
_cell_angle_gamma 90.00
loop_
_symmetry_equiv_pos_as_xyz
'x,y,z'
'-x,-y,-z'
'-x,y,-z'
'x,-y,z'
'x+1/2,y+1/2,z'
'-x+1/2,-y+1/2,-z'
'-x+1/2,y+1/2,-z'
'x+1/2,-y+1/2,z'
loop_
_atom_site_label
_atom_site_fract_x
_atom_site_fract_y
_atom_site_fract_z
Na1 0.0000 0.0000 0.0000
Na2 0.0000 0.3301 0.0000
U1 0.0000 0.5000 0.5000
Cd1 0.0000 0.1660 0.5000
Se1 0.2382 0.3378 0.7293
Se2 0.2473 0.5000 0.2713
# V in A^3/atom: 25.18
# Uncorrected energy in eV/atom: -4.12



No. 4
# Na2UCdSe4, relaxed, DFT PBE
data_Na2UCdSe4
_symmetry_space_group_name_H-M 'P 1 2/m 1'
_symmetry_Int_Tables_number 10
_cell_length_a 7.1143
_cell_length_b 4.1440
_cell_length_c 7.4432
_cell_angle_alpha 90.00
_cell_angle_beta 109.69
_cell_angle_gamma 90.00
loop_
_symmetry_equiv_pos_as_xyz
'x,y,z'
'-x,-y,-z'
'-x,y,-z'
'x,-y,z'
loop_
_atom_site_label
_atom_site_fract_x
_atom_site_fract_y
_atom_site_fract_z
Na1 0.0000 0.0000 0.0000
Na2 0.5000 0.5000 0.0000
U1 0.0000 0.5000 0.5000
Cd1 0.5000 0.0000 0.5000
Se1 0.2331 0.0000 0.7364
Se2 0.2572 0.5000 0.2788
# V in A^3/atom: 25.83
# Uncorrected energy in eV/atom: -4.62



| no. | M_tot (μB/f.u.) |
| --- | --- |
| 1 | 3.23 |
| 2 | 0.00 |
| 3 | 1.00 |
| 4 | 2.00 |